(1)
This record from Alexandria describes an optimized crystal structure of Pr2Ho5Er. The functional is PBE.

Total moment (μB per formula unit): 0.000
Space group: I4/mmm (139)
Formation enthalpy at 0 K (eV per atom): 0.0268

Lattice parameters (Å, degrees): 5.0608 5.0608 10.6720 103.72 103.72 90.00
Atoms (fractional coordinates):
1 Pr 0.7501 0.7501 0.5002
2 Pr 0.2499 0.2499 0.4998
3 Ho 0.5000 0.5000 0.0000
4 Ho 0.3779 0.8779 0.7559
5 Ho 0.8779 0.3779 0.7559
6 Ho 0.6221 0.1221 0.2441
7 Ho 0.1221 0.6221 0.2441
8 Er 0.0000 0.0000 0.0000

(2)
This record from Alexandria describes an optimized crystal structure of PrHo3Er12. The functional is PBE.

Total moment (μB per formula unit): 0.001
Space group: P4/mmm (123)
Formation enthalpy at 0 K (eV per atom): 0.0235

Lattice parameters (Å, degrees): 4.9811 4.9811 19.9188 90.00 90.00 90.00
Atoms (fractional coordinates):
1 Pr 0.0000 0.0000 0.0000
2 Ho 0.0000 0.0000 0.2514
3 Ho 0.0000 0.0000 0.5000
4 Ho 0.0000 0.0000 0.7486
5 Er 0.5000 0.5000 0.0000
6 Er 0.5000 0.5000 0.2520
7 Er 0.5000 0.5000 0.5000
8 Er 0.5000 0.5000 0.7480
9 Er 0.5000 0.0000 0.1274
10 Er 0.5000 0.0000 0.3758
11 Er 0.5000 0.0000 0.6242
12 Er 0.5000 0.0000 0.8726
13 Er 0.0000 0.5000 0.1274
14 Er 0.0000 0.5000 0.3758
15 Er 0.0000 0.5000 0.6242
16 Er 0.0000 0.5000 0.8726

(3)
This record from Alexandria describes an optimized crystal structure of Pr5HoEr4. The functional is PBE.

Total moment (μB per formula unit): 0.000
Space group: P-1 (2)
Formation enthalpy at 0 K (eV per atom): 0.0208

Lattice parameters (Å, degrees): 3.6169 10.2268 9.5290 105.94 79.12 90.03
Atoms (fractional coordinates):
1 Pr 0.2996 0.6007 0.4005
2 Pr 0.8996 0.8066 0.1997
3 Pr 0.1004 0.1934 0.8003
4 Pr 0.5000 0.5000 0.0000
5 Pr 0.7004 0.3993 0.5995
6 Ho 0.5000 0.0000 0.0000
7 Er 0.3006 0.0998 0.3987
8 Er 0.8989 0.2944 0.2017
9 Er 0.6994 0.9002 0.6013
10 Er 0.1011 0.7056 0.7983

(4)
This record from Alexandria describes an optimized crystal structure of Pr7HoEr3. The functional is PBE.

Total moment (μB per formula unit): 0.000
Space group: C2/m (12)
Formation enthalpy at 0 K (eV per atom): 0.2219

Lattice parameters (Å, degrees): 5.9407 8.6182 8.6182 83.53 110.22 110.22
Atoms (fractional coordinates):
1 Pr 0.2101 0.2083 0.2083
2 Pr 0.3087 0.0204 0.5972
3 Pr 0.6913 0.4028 0.9796
4 Pr 0.3087 0.5972 0.0204
5 Pr 0.0000 0.5000 0.5000
6 Pr 0.6913 0.9796 0.4028
7 Pr 0.7899 0.7917 0.7917
8 Ho 0.5000 0.5000 0.5000
9 Er 0.0000 0.7953 0.2047
10 Er 0.5000 0.0000 0.0000
11 Er 0.0000 0.2047 0.7953

(5)
This record from Alexandria describes an optimized crystal structure of PrHo3Er2. The functional is PBE.

Total moment (μB per formula unit): 0.000
Space group: C2/c (15)
Formation enthalpy at 0 K (eV per atom): 0.0224

Lattice parameters (Å, degrees): 7.0986 6.1418 9.3923 89.83 112.20 90.00
Atoms (fractional coordinates):
1 Pr 0.8739 0.7500 0.0000
2 Pr 0.1261 0.2500 0.0000
3 Ho 0.6234 0.2500 0.0000
4 Ho 0.3766 0.7500 0.0000
5 Ho 0.0429 0.0852 0.3371
6 Ho 0.7057 0.4148 0.6629
7 Ho 0.2943 0.5852 0.3371
8 Ho 0.9571 0.9148 0.6629
9 Er 0.7919 0.5826 0.3354
10 Er 0.5434 0.0826 0.3354
11 Er 0.4566 0.9174 0.6646
12 Er 0.2081 0.4174 0.6646

(6)
This record from Alexandria describes an optimized crystal structure of Pr7Ho3Er2. The functional is PBE.

Total moment (μB per formula unit): 0.000
Space group: P2/m (10)
Formation enthalpy at 0 K (eV per atom): 0.0729

Lattice parameters (Å, degrees): 3.5766 6.5055 18.1878 74.99 90.00 90.00
Atoms (fractional coordinates):
1 Pr 0.5000 0.2352 0.5072
2 Pr 0.5000 0.7648 0.4928
3 Pr 0.0000 0.5553 0.1679
4 Pr 0.0000 0.0000 0.0000
5 Pr 0.0000 0.4447 0.8321
6 Pr 0.5000 0.9481 0.8269
7 Pr 0.5000 0.0519 0.1731
8 Ho 0.5000 0.5000 0.0000
9 Ho 0.0000 0.1170 0.3403
10 Ho 0.0000 0.8830 0.6597
11 Er 0.5000 0.6102 0.3302
12 Er 0.5000 0.3898 0.6698

(7)
This record from Alexandria describes an optimized crystal structure of PrHo7Er4. The functional is PBE.

Total moment (μB per formula unit): 0.000
Space group: C2/m (12)
Formation enthalpy at 0 K (eV per atom): 0.2813

Lattice parameters (Å, degrees): 5.8396 11.4531 6.6832 82.98 64.09 75.23
Atoms (fractional coordinates):
1 Pr 0.0000 0.0000 0.0000
2 Ho 0.7891 0.9219 0.4998
3 Ho 0.2109 0.0781 0.5002
4 Ho 0.0579 0.6676 0.2165
5 Ho 0.9421 0.3324 0.7835
6 Ho 0.3653 0.5047 0.7647
7 Ho 0.5000 0.0000 0.0000
8 Ho 0.6347 0.4953 0.2353
9 Er 0.6307 0.2257 0.5128
10 Er 0.3693 0.7743 0.4872
11 Er 0.7479 0.6845 0.8197
12 Er 0.2521 0.3155 0.1803

(8)
This record from Alexandria describes an optimized crystal structure of Pr3Ho4Er5. The functional is PBE.

Total moment (μB per formula unit): 0.000
Space group: P-1 (2)
Formation enthalpy at 0 K (eV per atom): 0.0216

Lattice parameters (Å, degrees): 7.1241 11.2574 12.8413 151.28 56.47 129.17
Atoms (fractional coordinates):
1 Pr 0.5849 0.1678 0.3336
2 Pr 0.0000 0.0000 0.5000
3 Pr 0.4151 0.8322 0.6664
4 Ho 0.9186 0.8364 0.6694
5 Ho 0.8320 0.6653 0.8335
6 Ho 0.1680 0.3347 0.1665
7 Ho 0.0814 0.1636 0.3306
8 Er 0.3320 0.6683 0.8360
9 Er 0.5000 0.0000 0.5000
10 Er 0.7488 0.5017 0.0015
11 Er 0.2512 0.4983 0.9985
12 Er 0.6680 0.3317 0.1640

Question: Which value of formation enthalpy at 0 K does entry 5 give?
Answer: 0.0224 eV per atom

Question: The highest total moment belongs to which entry?
Answer: PrHo3Er12